# K2CoIrO6, optimized geometry, DFT GGA+U
# Crystal system: cubic
# Calculated total energy, eV/cell: -55.11
# Space group: Fm-3m
data_K2CoIrO6
_cell_length_a 5.533
_cell_length_b 5.533
_cell_length_c 5.533
_cell_angle_alpha 60.00
_cell_angle_beta 60.00
_cell_angle_gamma 60.00
_symmetry_space_group_name_H-M 'P 1'
_symmetry_Int_Tables_number 1
loop_
_symmetry_equiv_pos_as_xyz
'x,y,z'
loop_
_atom_site_label
_atom_site_type_symbol
_atom_site_fract_x
_atom_site_fract_y
_atom_site_fract_z
Co1 Co 0.500 0.500 0.500
Ir1 Ir 0.000 0.000 0.000
K1 K 0.250 0.250 0.250
K2 K 0.750 0.750 0.750
O1 O 0.245 0.755 0.245
O2 O 0.755 0.755 0.245
O3 O 0.755 0.245 0.245
O4 O 0.245 0.245 0.755
O5 O 0.755 0.245 0.755
O6 O 0.245 0.755 0.755